1.
VHg: optimized geometry, GGA-PBE.

- calculated formation energy (meV per atom) = 786

```
data_VHg
_chemical_formula_sum 'V4 Hg4'
_symmetry_space_group_name_H-M 'P 42/m n m'
_symmetry_Int_Tables_number 136
_symmetry_space_group_name_Hall '-P 4n 2n'
_cell_length_a 5.477
_cell_length_b 5.477
_cell_length_c 5.627
_cell_angle_alpha 90.00
_cell_angle_beta 90.00
_cell_angle_gamma 90.00
loop_
_atom_site_label
_atom_site_fract_x
_atom_site_fract_y
_atom_site_fract_z
V1 0.128 0.128 0.000
Hg1 0.176 0.176 0.500
```



2.
PuTh2Se4: optimized geometry, GGA-PBE.

- ΔE to the lowest computed polymorph (meV per atom) = 66
- formation energy without anion corrections (eV/atom) = -1.533

```
data_PuTh2Se4
_chemical_formula_sum 'Pu4 Th8 Se16'
_symmetry_space_group_name_H-M 'C m c m'
_symmetry_Int_Tables_number 63
_symmetry_space_group_name_Hall '-C 2c 2'
_cell_length_a 4.098
_cell_length_b 13.860
_cell_length_c 13.977
_cell_angle_alpha 90.00
_cell_angle_beta 90.00
_cell_angle_gamma 90.00
loop_
_atom_site_label
_atom_site_fract_x
_atom_site_fract_y
_atom_site_fract_z
Pu1 0.000 0.119 0.250
Th1 0.000 0.364 0.066
Se1 0.000 0.000 0.000
Se2 0.000 0.276 0.630
Se3 0.000 0.464 0.250
```



3.
K2YSn: optimized geometry, GGA-PBE.

- calculated formation energy (meV per atom) = 262

```
data_K2YSn
_chemical_formula_sum 'K8 Y4 Sn4'
_symmetry_space_group_name_H-M 'I -4 2 d'
_symmetry_Int_Tables_number 122
_symmetry_space_group_name_Hall 'I -4 2bw'
_cell_length_a 11.703
_cell_length_b 11.703
_cell_length_c 6.019
_cell_angle_alpha 90.00
_cell_angle_beta 90.00
_cell_angle_gamma 90.00
loop_
_atom_site_label
_atom_site_fract_x
_atom_site_fract_y
_atom_site_fract_z
K1 0.145 0.250 0.125
Y1 0.000 0.000 0.500
Sn1 0.000 0.000 0.000
```



4.
BaTl4Pt3O12: optimized geometry, GGA-PBE.

- formation energy without anion corrections (eV/atom) = -0.709

```
data_BaTl4Pt3O12
_chemical_formula_sum 'Ba2 Tl8 Pt6 O24'
_symmetry_space_group_name_H-M 'I m -3'
_symmetry_Int_Tables_number 204
_symmetry_space_group_name_Hall '-I 2 2 3'
_cell_length_a 8.350
_cell_length_b 8.350
_cell_length_c 8.350
_cell_angle_alpha 90.00
_cell_angle_beta 90.00
_cell_angle_gamma 90.00
loop_
_atom_site_label
_atom_site_fract_x
_atom_site_fract_y
_atom_site_fract_z
Ba1 0.000 0.000 0.000
Tl1 0.250 0.250 0.250
Pt1 0.000 0.000 0.500
O1 0.000 0.324 0.159
```